# 1
DFT (PBE) results for PuHgTe after structural relaxation.

abc: 17.6012 17.6012 3.2349
angles: 90.00 90.00 169.59
Closest atoms and distances in Å follow each position.
Atoms (fractional coordinates):
Pu  0.1178  0.8822  0.7500  2 Te 3.15, 4 Pu 3.19-3.23, 2 Hg 3.21
Pu  0.8822  0.1178  0.2500  2 Te 3.15, 4 Pu 3.19-3.23, 2 Hg 3.21
Hg  0.4618  0.5382  0.2500  6 Hg 3.13-3.23, 2 Pu 3.21
Hg  0.5382  0.4618  0.7500  6 Hg 3.13-3.23, 2 Pu 3.21
Te  0.1948  0.8052  0.2500  2 Pu 3.15, 4 Te 3.19-3.23
Te  0.8052  0.1948  0.7500  2 Pu 3.15, 4 Te 3.19-3.23

Summary:
E above lowest polymorph: 0.452 eV/atom
Calculated density: 10.492 g/cm3
ΔE_f (raw): -5.5 kJ per mole of atoms
Volume: 181.1 Å³ per cell
Energy: -5.98 eV/atom

=====

# 2
DFT (PBE) results for PuHgTe after structural relaxation.

abc: 5.2045 5.2045 5.2045
angles: 60.00 60.00 60.00
Closest atoms and distances in Å follow each position.
Atoms (fractional coordinates):
Pu  0.0000  0.0000  0.0000  4 Hg 3.19, 4 Te 3.19
Hg  0.7500  0.7500  0.7500  4 Pu 3.19
Te  0.2500  0.2500  0.2500  4 Pu 3.19

Summary:
E above lowest polymorph: 0.000 eV/atom
Calculated density: 9.532 g/cm3
ΔE_f (raw): -49.1 kJ per mole of atoms
Volume: 99.7 Å³ per cell
Energy: -6.43 eV/atom

=====

# 3
DFT (PBE) results for PuHgTe2 after structural relaxation.

abc: 4.0129 4.0129 7.0612
angles: 90.00 90.00 90.00
Closest atoms and distances in Å follow each position.
Atoms (fractional coordinates):
Pu  0.0000  0.0000  0.0000  8 Te 3.25, 2 Hg 3.53
Hg  0.0000  0.0000  0.5000  8 Te 3.45, 2 Pu 3.53
Te  0.5000  0.5000  0.2233  1 Te 3.15, 4 Pu 3.25, 4 Hg 3.45
Te  0.5000  0.5000  0.7767  1 Te 3.15, 4 Pu 3.25, 4 Hg 3.45

Summary:
E above lowest polymorph: 0.000 eV/atom
Calculated density: 10.219 g/cm3
ΔE_f (raw): -56.9 kJ per mole of atoms
Volume: 113.7 Å³ per cell
Energy: -5.82 eV/atom

=====

# 4
DFT (PBE) results for PuHg2Te after structural relaxation.

abc: 4.4483 4.4483 5.4211
angles: 90.00 90.00 90.00
Closest atoms and distances in Å follow each position.
Atoms (fractional coordinates):
Pu  0.0000  0.0000  0.0000  4 Te 3.15, 8 Hg 3.51
Hg  0.0000  0.5000  0.5000  4 Hg 3.15, 4 Te 3.51, 4 Pu 3.51
Hg  0.5000  0.0000  0.5000  4 Hg 3.15, 4 Te 3.51, 4 Pu 3.51
Te  0.5000  0.5000  0.0000  4 Pu 3.15, 8 Hg 3.51

Summary:
Calculated density: 11.963 g/cm3
ΔE_f (raw): -43.5 kJ per mole of atoms
Volume: 107.3 Å³ per cell
Energy: -4.97 eV/atom

=====

# 5
DFT (PBE) results for PuHgTe3 after structural relaxation.

abc: 7.1651 4.5381 11.6938
angles: 90.00 92.74 90.00
Closest atoms and distances in Å follow each position.
Atoms (fractional coordinates):
Pu  0.0333  0.2500  0.1626  6 Te 3.04-3.11
Pu  0.9667  0.7500  0.8374  6 Te 3.04-3.11
Hg  0.4255  0.7500  0.2901  4 Te 2.82-3.09
Hg  0.5745  0.2500  0.7099  4 Te 2.82-3.09
Te  0.1843  0.2500  0.7340  1 Hg 2.82, 2 Pu 3.04
Te  0.2486  0.7500  0.0442  3 Pu 3.08-3.11, 1 Hg 3.09
Te  0.2632  0.2500  0.3884  2 Hg 2.82, 1 Pu 3.04
Te  0.7368  0.7500  0.6116  2 Hg 2.82, 1 Pu 3.04
Te  0.7514  0.2500  0.9558  3 Pu 3.08-3.11, 1 Hg 3.09
Te  0.8157  0.7500  0.2660  1 Hg 2.82, 2 Pu 3.04

Summary:
Calculated density: 7.235 g/cm3
ΔE_f (raw): -44.1 kJ per mole of atoms
Volume: 379.8 Å³ per cell
Energy: -5.27 eV/atom

=====

# 6
DFT (PBE) results for PuHgTe2 after structural relaxation.

abc: 7.8790 7.8790 7.8790
angles: 33.85 33.85 33.85
Closest atoms and distances in Å follow each position.
Atoms (fractional coordinates):
Pu  0.0000  0.0000  0.0000  6 Te 3.06-3.13
Hg  0.8383  0.8383  0.8383  6 Te 3.36-3.41, 1 Pu 3.60
Te  0.4084  0.4084  0.4084  3 Pu 3.13, 3 Hg 3.41
Te  0.5982  0.5982  0.5982  3 Pu 3.06, 3 Hg 3.36

Summary:
E above lowest polymorph: 0.051 eV/atom
Calculated density: 8.593 g/cm3
ΔE_f (raw): -52.0 kJ per mole of atoms
Volume: 135.2 Å³ per cell
Energy: -5.77 eV/atom

=====

# 7
DFT (PBE) results for PuTlHgTe after structural relaxation.

abc: 5.4405 5.4405 5.4405
angles: 60.00 60.00 60.00
Closest atoms and distances in Å follow each position.
Atoms (fractional coordinates):
Pu  0.0000  0.0000  0.0000  4 Hg 3.33, 4 Te 3.33
Tl  0.5000  0.5000  0.5000  4 Te 3.33, 4 Hg 3.33
Hg  0.2500  0.2500  0.2500  4 Tl 3.33, 4 Pu 3.33
Te  0.7500  0.7500  0.7500  4 Tl 3.33, 4 Pu 3.33

Summary:
Calculated density: 11.325 g/cm3
ΔE_f (raw): -28.5 kJ per mole of atoms
Volume: 113.9 Å³ per cell
Energy: -5.33 eV/atom

=====

# 8
DFT (PBE) results for Pu2Tl3HgTe6 after structural relaxation.

abc: 7.7780 7.7780 8.4206
angles: 98.42 98.42 120.31
Closest atoms and distances in Å follow each position.
Atoms (fractional coordinates):
Pu  0.1675  0.8325  0.0000  6 Te 3.08-3.11
Pu  0.8325  0.1675  0.0000  6 Te 3.08-3.11
Tl  0.0000  0.0000  0.5000  6 Te 3.46-3.49
Tl  0.3335  0.6665  0.5000  6 Te 3.39-3.50
Tl  0.6665  0.3335  0.5000  6 Te 3.39-3.50
Hg  0.5000  0.5000  0.0000  6 Te 3.06-3.21
Te  0.0839  0.4287  0.7812  2 Pu 3.08-3.09, 1 Hg 3.21, 2 Tl 3.39-3.44
Te  0.2365  0.2365  0.2091  1 Hg 3.06, 2 Pu 3.11
Te  0.4287  0.0839  0.7812  2 Pu 3.08-3.09, 1 Hg 3.21, 2 Tl 3.39-3.44
Te  0.5713  0.9161  0.2188  2 Pu 3.08-3.09, 1 Hg 3.21, 2 Tl 3.39-3.44
Te  0.7635  0.7635  0.7909  1 Hg 3.06, 2 Pu 3.11
Te  0.9161  0.5713  0.2188  2 Pu 3.08-3.09, 1 Hg 3.21, 2 Tl 3.39-3.44

Summary:
Calculated density: 8.167 g/cm3
ΔE_f (raw): -51.7 kJ per mole of atoms
Volume: 420.3 Å³ per cell
Energy: -5.11 eV/atom

=====

Please write out number 8 again, unchanged.
DFT (PBE) results for Pu2Tl3HgTe6 after structural relaxation.

abc: 7.7780 7.7780 8.4206
angles: 98.42 98.42 120.31
Closest atoms and distances in Å follow each position.
Atoms (fractional coordinates):
Pu  0.1675  0.8325  0.0000  6 Te 3.08-3.11
Pu  0.8325  0.1675  0.0000  6 Te 3.08-3.11
Tl  0.0000  0.0000  0.5000  6 Te 3.46-3.49
Tl  0.3335  0.6665  0.5000  6 Te 3.39-3.50
Tl  0.6665  0.3335  0.5000  6 Te 3.39-3.50
Hg  0.5000  0.5000  0.0000  6 Te 3.06-3.21
Te  0.0839  0.4287  0.7812  2 Pu 3.08-3.09, 1 Hg 3.21, 2 Tl 3.39-3.44
Te  0.2365  0.2365  0.2091  1 Hg 3.06, 2 Pu 3.11
Te  0.4287  0.0839  0.7812  2 Pu 3.08-3.09, 1 Hg 3.21, 2 Tl 3.39-3.44
Te  0.5713  0.9161  0.2188  2 Pu 3.08-3.09, 1 Hg 3.21, 2 Tl 3.39-3.44
Te  0.7635  0.7635  0.7909  1 Hg 3.06, 2 Pu 3.11
Te  0.9161  0.5713  0.2188  2 Pu 3.08-3.09, 1 Hg 3.21, 2 Tl 3.39-3.44

Summary:
Calculated density: 8.167 g/cm3
ΔE_f (raw): -51.7 kJ per mole of atoms
Volume: 420.3 Å³ per cell
Energy: -5.11 eV/atom

=====

- What is the formula in the eighth record?
  Pu2Tl3HgTe6

=====

- energy of number 7 (PuTlHgTe)?
  -5.33 eV/atom

=====

- The lowest volume belongs to which entry?
  number 2